# 1
VTeO: relaxed, PBE+U.

SG   Pmma
Final energy   -105.33 eV/cell
Volume   23.3 Å³/atom

Cell lengths 3.0317, 8.6734, 15.9332 Å; angles 90.00, 90.00, 90.00 degrees
Last column: nearest neighbours and their distance in Å.
Fractional positions:
O: 0.5000 0.4629 0.3286  1 V 1.81
O: 0.5000 0.5371 0.6714  1 V 1.81
O: 0.5000 0.4629 0.1714  1 V 1.81
O: 0.5000 0.5371 0.8286  1 V 1.81
O: 0.5000 0.2982 0.7500  2 V 1.88
O: 0.5000 0.7018 0.2500  2 V 1.88
Te: 0.0000 0.2091 0.5094  2 V 2.74, 2 Te 3.03
Te: 0.0000 0.9121 0.7500  4 V 2.90, 2 Te 3.03
Te: 0.0000 0.7909 0.0094  2 V 2.74, 2 Te 3.03
Te: 0.0000 0.2091 0.9906  2 V 2.74, 2 Te 3.03
Te: 0.0000 0.0879 0.2500  4 V 2.90, 2 Te 3.03
Te: 0.0000 0.7909 0.4906  2 V 2.74, 2 Te 3.03
V: 0.5000 0.2687 0.1301  1 O 1.81
V: 0.0000 0.5744 0.2500  2 O 1.88
V: 0.5000 0.7313 0.6301  1 O 1.81
V: 0.5000 0.7313 0.8699  1 O 1.81
V: 0.5000 0.2687 0.3699  1 O 1.81
V: 0.0000 0.4256 0.7500  2 O 1.88

# 2
VTe3O: relaxed, PBE+U.

SG   Pm-3m
Energy above the most stable polymorph in this dataset   0.0 kJ/mol of atoms
Volume   22.7 Å³/atom

Cell lengths 4.8382, 4.8382, 4.8382 Å; angles 90.00, 90.00, 90.00 degrees
Last column: nearest neighbours and their distance in Å.
Fractional positions:
V: 0.5000 0.5000 0.5000  12 Te 3.42
Te: 0.0000 0.0000 0.5000  2 O 2.42
Te: 0.5000 0.0000 0.0000  2 O 2.42
Te: 0.0000 0.5000 0.0000  2 O 2.42
O: 0.0000 0.0000 0.0000  6 Te 2.42

# 3
VTeO4: relaxed, PBE+U.

SG   P2_1/c
Energy above the most stable polymorph in this dataset   0.0 kJ/mol of atoms
Volume   13.2 Å³/atom

Cell lengths 5.0414, 5.1338, 12.7974 Å; angles 73.58, 90.00, 90.00 degrees
Last column: nearest neighbours and their distance in Å.
Fractional positions:
O: 0.4199 0.5624 0.7982  1 Te 1.93, 1 V 1.96
O: 0.5801 0.4376 0.2018  1 Te 1.93, 1 V 1.96
O: 0.9199 0.4376 0.7018  1 Te 1.93, 1 V 1.96
O: 0.0801 0.5624 0.2982  1 Te 1.93, 1 V 1.96
O: 0.8918 0.0576 0.1646  1 Te 1.95, 1 V 1.98
O: 0.5481 0.3679 0.4319  1 Te 1.96, 2 V 2.05-2.10
O: 0.9503 0.7438 0.4828  1 V 1.75
O: 0.9519 0.3679 0.9319  1 Te 1.96, 2 V 2.05-2.10
O: 0.3918 0.9424 0.3354  1 Te 1.95, 1 V 1.98
O: 0.4519 0.6321 0.5681  1 Te 1.96, 2 V 2.05-2.10
O: 0.4503 0.2562 0.0172  1 V 1.75
O: 0.1082 0.9424 0.8354  1 Te 1.95, 1 V 1.98
O: 0.0481 0.6321 0.0681  1 Te 1.96, 2 V 2.05-2.10
O: 0.6082 0.0576 0.6646  1 Te 1.95, 1 V 1.98
O: 0.0497 0.2562 0.5172  1 V 1.75
O: 0.5497 0.7438 0.9828  1 V 1.75
V: 0.7732 0.3878 0.5672  1 O 1.75
V: 0.2268 0.6122 0.4328  1 O 1.75
V: 0.7268 0.3878 0.0672  1 O 1.75
V: 0.2732 0.6122 0.9328  1 O 1.75
Te: 0.6977 0.1759 0.3334  3 O 1.93-1.96
Te: 0.1977 0.8241 0.1666  3 O 1.93-1.96
Te: 0.3023 0.8241 0.6666  3 O 1.93-1.96
Te: 0.8023 0.1759 0.8334  3 O 1.93-1.96